A geometry-optimized LiTmSnS4 structure. Source: the Alexandria database, functional PBE.

extended XYZ file:
```
14
Lattice="-3.826 3.906 5.460 3.826 -3.906 5.460 3.826 3.906 -5.460" Properties=species:S:1:pos:R:3 pbc="T T T"
Li 0.000 1.953 1.248
Li 3.826 1.953 4.212
Tm 3.826 0.000 0.000
Tm 0.000 0.000 5.460
Sn 1.913 1.953 -2.730
Sn 1.913 -1.953 2.730
S 3.826 3.751 -2.728
S 3.826 -0.155 2.728
S 1.980 1.953 -0.145
S 5.672 1.953 -0.145
S -1.846 1.953 5.605
S 1.846 1.953 5.605
S 0.000 4.061 2.732
S 0.000 0.155 8.187
```

E_form (uncorrected) in eV per atom: -1.20
Density in g cm⁻³: 4.30